TlSe2Br: single point on PBEsol structure, SCAN.

Unit cell a=3.772 b=5.938 c=6.167 alpha=118.78 beta=107.81 gamma=90.00
Fractional coordinates of all 4 atoms:
Br: 0.708 0.208 0.417
Se: 0.997 0.997 0.994
Se: 0.335 0.835 0.671
Tl: 0.459 0.459 0.918

Output
Space-group type = Imm2 (44)
Formation energy from raw total energies = -25 kJ per mole of atoms
Energy relative to the lowest polymorph listed for this composition = 0 meV per atom
Total DFT energy (no corrections) = -33.25 eV per atom